U3MnTl2O12 | PBE+U | optimized geometry

Values from the calculation:
- symmetry = R-3m (166)
- VASP energy (eV/cell) = -148.79
- M_tot (μB/atom) = 0.166

a b c (Å): 7.4659 7.4659 7.4659
angles (deg): 63.90 63.90 63.90
Positions (direct):
U (0.0000, 0.5000, 0.5000)
U (0.5000, 0.0000, 0.5000)
U (0.5000, 0.5000, 0.0000)
Mn (0.5000, 0.5000, 0.5000)
Tl (0.1513, 0.1513, 0.1513)
Tl (0.8487, 0.8487, 0.8487)
O (0.1762, 0.1762, 0.5497)
O (0.1762, 0.5497, 0.1762)
O (0.2065, 0.5556, 0.5556)
O (0.4444, 0.4444, 0.7935)
O (0.4444, 0.7935, 0.4444)
O (0.4503, 0.8238, 0.8238)
O (0.5497, 0.1762, 0.1762)
O (0.5556, 0.2065, 0.5556)
O (0.5556, 0.5556, 0.2065)
O (0.7935, 0.4444, 0.4444)
O (0.8238, 0.4503, 0.8238)
O (0.8238, 0.8238, 0.4503)